TbEr2Hf (PBE, relaxed); E_form = 136 meV/atom; V = 112.09 Å³ per cell; offset from the most stable computed form = 37 meV/atom; DOS at the Fermi energy = 1.21 states/eV/atom
1.0
-3.128 -3.614 -0.683
2.581 -2.793 2.958
-2.609 1.551 3.742
Er Tb Hf
2 1 1
Direct
0.000 0.000 0.500 Er
0.000 0.500 0.000 Er
0.500 0.500 0.500 Tb
0.500 0.000 0.000 Hf



PmPr4Nd3Te8 (PBE, relaxed); E_form (uncorrected) = -1.425 eV per atom; V = 519.70 Å³ per cell; DOS at the Fermi energy = 0.79 states/eV/atom
1.0
9.023 0.000 0.000
0.000 9.026 0.001
-4.512 -4.504 6.381
Pr Te Pm Nd
4 8 1 3
Direct
0.500 0.000 0.500 Pr
0.000 0.000 0.500 Pr
0.000 0.000 0.000 Pr
0.500 0.000 0.000 Pr
0.750 0.746 0.998 Te
0.251 0.253 0.502 Te
0.248 0.746 0.998 Te
0.752 0.254 0.002 Te
0.248 0.746 0.496 Te
0.749 0.747 0.498 Te
0.250 0.254 0.002 Te
0.752 0.254 0.504 Te
0.000 0.500 0.000 Pm
0.500 0.500 0.000 Nd
0.500 0.500 0.500 Nd
0.000 0.500 0.500 Nd



Ce2PmGe2Ir2 (PBE, relaxed); E_form = -753 meV/atom; V = 146.92 Å³ per cell; DOS at the Fermi energy = 0.55 states/eV/atom
1.0
-0.002 4.423 0.053
-3.744 2.219 -0.791
-3.100 2.112 8.224
Ir Ce Ge Pm
2 2 2 1
Direct
0.577 0.577 0.270 Ir
0.423 0.423 0.730 Ir
0.861 0.861 0.418 Ce
0.139 0.139 0.582 Ce
0.264 0.264 0.209 Ge
0.736 0.736 0.791 Ge
0.000 0.000 0.000 Pm



La2SbTe (PBE, relaxed); E_form (uncorrected) = -1.475 eV per atom; V = 276.34 Å³ per cell; offset from the most stable computed form = 1 meV/atom; DOS at the Fermi energy = 0.40 states/eV/atom
1.0
4.611 0.000 0.000
0.000 6.510 0.000
0.000 0.000 9.206
La Te Sb
4 2 2
Direct
0.000 0.000 0.381 La
0.500 0.500 0.619 La
0.500 0.500 0.131 La
0.000 0.000 0.869 La
0.000 0.500 0.876 Te
0.500 0.000 0.124 Te
0.500 0.000 0.627 Sb
0.000 0.500 0.373 Sb